VASP calculation (PBE+U) on a relaxed structure of Tl2CrCuF6.

Unit cell a=6.3634 b=7.8482 c=6.3639 alpha=90.00 beta=90.00 gamma=90.00
Last column: nearest neighbours and their distance in Å.
Space group Pmmn (No. 59, origin choice 2)
Unique sites:
Tl (0.2500, 0.0000, 0.2494) [4 per cell]  12 F 3.00-3.18
Cr (0.2500, 0.2500, 0.7496) [2 per cell]  6 F 1.96-1.99
Cu (0.2500, 0.7500, 0.7489) [2 per cell]  2 F 1.93
F (0.0323, 0.2500, 0.5321) [4 per cell]  1 Cr 1.96
F (0.0323, 0.2500, 0.9671) [4 per cell]  1 Cr 1.96
F (0.2500, 0.5037, 0.7498) [4 per cell]  1 Cu 1.93, 1 Cr 1.99

Values from the calculation:
DFT total energy: -4.80 eV per atom
Volume: 15.9 Å³ per atom